PrDy2MoN4 (PBE, optimized geometry); N(E_F) = 0.279 states/eV per atom; formation energy without anion corrections = -26.2 kcal/mol of atoms; theoretical density = 8420 kg/m³; volume = 243.7 Å³/cell; E = -8.3993 eV/atom
1.0
1.7256 -5.9401 0.0000
1.7256 5.9401 0.0000
0.0000 0.0000 11.8878
Pr Dy Mo N
2 4 2 8
Direct
0.0929 0.9071 0.7500
0.9071 0.0929 0.2500
0.3703 0.6297 0.5396
0.3703 0.6297 0.9604
0.6297 0.3703 0.0396
0.6297 0.3703 0.4604
0.1656 0.8344 0.2500
0.8344 0.1656 0.7500
0.0000 0.0000 0.0000
0.0000 0.0000 0.5000
0.2629 0.7371 0.1213
0.2629 0.7371 0.3787
0.4345 0.5655 0.7500
0.5655 0.4345 0.2500
0.7371 0.2629 0.6213
0.7371 0.2629 0.8787

DyPu2MoN4 (PBE, optimized geometry); N(E_F) = 1.364 states/eV per atom; formation energy without anion corrections = -22.6 kcal/mol of atoms; theoretical density = 11830 kg/m³; volume = 225.3 Å³/cell; E = -10.6553 eV/atom
1.0
1.6612 -5.8584 0.0000
1.6612 5.8584 0.0000
0.0000 0.0000 11.5738
Dy Pu Mo N
2 4 2 8
Direct
0.1233 0.8767 0.7500
0.8767 0.1233 0.2500
0.3682 0.6318 0.5455
0.3682 0.6318 0.9545
0.6318 0.3682 0.0455
0.6318 0.3682 0.4545
0.1397 0.8603 0.2500
0.8603 0.1397 0.7500
0.0000 0.0000 0.0000
0.0000 0.0000 0.5000
0.2676 0.7324 0.1242
0.2676 0.7324 0.3758
0.4713 0.5287 0.7500
0.5287 0.4713 0.2500
0.7324 0.2676 0.6242
0.7324 0.2676 0.8758